# 1
Compound: Cu3Ag2Se2
Source: Alexandria via LeMat-Bulk
Functional: PBE
Structure: optimized geometry

Unit cell a=6.292 b=6.615 c=7.248 alpha=90.00 beta=122.38 gamma=90.00
Fractional coordinates of all 14 atoms:
Cu (0.500, 0.500, 0.500)
Cu (0.000, 0.000, 0.000)
Cu (0.474, 0.954, 0.166)
Cu (0.026, 0.454, 0.334)
Cu (0.974, 0.546, 0.666)
Cu (0.526, 0.046, 0.834)
Ag (0.218, 0.362, 0.076)
Ag (0.718, 0.138, 0.576)
Ag (0.282, 0.862, 0.424)
Ag (0.782, 0.638, 0.924)
Se (0.640, 0.609, 0.278)
Se (0.860, 0.109, 0.222)
Se (0.140, 0.891, 0.778)
Se (0.360, 0.391, 0.722)

Summary:
Calculated volume ... 18.20 Å³ per atom
Final energy ... -0.1294 Ha/atom

***

# 2
Compound: Pm5Sn2Ir
Source: Alexandria via LeMat-Bulk
Functional: PBE
Structure: optimized geometry

Unit cell a=4.666 b=8.145 c=12.507 alpha=90.00 beta=90.00 gamma=90.00
Fractional coordinates of all 16 atoms:
Pm (0.000, 0.000, 0.500)
Pm (0.000, 0.500, 0.000)
Pm (0.000, 0.861, 0.203)
Pm (0.000, 0.139, 0.797)
Pm (0.000, 0.639, 0.703)
Pm (0.000, 0.361, 0.297)
Pm (0.500, 0.687, 0.433)
Pm (0.500, 0.313, 0.567)
Pm (0.500, 0.813, 0.933)
Pm (0.500, 0.187, 0.067)
Sn (0.500, 0.576, 0.171)
Sn (0.500, 0.424, 0.829)
Sn (0.500, 0.924, 0.671)
Sn (0.500, 0.076, 0.329)
Ir (0.000, 0.500, 0.500)
Ir (0.000, 0.000, 0.000)

Summary:
Calculated volume ... 29.71 Å³ per atom
Final energy ... -0.2120 Ha/atom
Energy relative to the elements ... -0.692 eV per atom

***

# 3
Compound: CaHfAsBr2
Source: Alexandria via LeMat-Bulk
Functional: PBE
Structure: optimized geometry

Unit cell a=5.212 b=5.212 c=5.314 alpha=90.00 beta=90.00 gamma=90.00
Fractional coordinates of all 5 atoms:
As (0.000, 0.000, 0.500)
Hf (0.000, 0.000, 0.000)
Ca (0.500, 0.500, 0.500)
Br (0.000, 0.500, 0.000)
Br (0.500, 0.000, 0.000)

Summary:
Calculated volume ... 28.87 Å³ per atom
Final energy ... -0.1746 Ha/atom

***

Among the records above, which one has the highest calculated volume? Pm5Sn2Ir

***

The highest final energy belongs to which entry? Cu3Ag2Se2